Material: Mg2BeCl
Method: DFT, PBE
State: optimized geometry

Values from the calculation:
SG: No. 6

a b c (Å): 5.047 3.094 5.043
angles (deg): 89.95 90.00 90.00
Element x y z (fractional)
Mg (0.500, 0.008, 0.375)
Be (0.000, 0.501, 0.374)
Mg (0.000, 0.003, 0.876)
Cl (0.500, 0.988, 0.875)

=====

Material: MgBe2Cl
Method: DFT, PBE
State: optimized geometry

Values from the calculation:
SG: No. 119

a b c (Å): 5.037 5.037 5.037
angles (deg): 135.19 135.19 65.24
Element x y z (fractional)
Cl (0.500, 0.500, 0.000)
Be (0.000, 0.000, 0.000)
Mg (0.750, 0.250, 0.500)
Be (0.250, 0.750, 0.500)

=====

Material: Mg2BeCl
Method: DFT, PBE
State: optimized geometry

Values from the calculation:
SG: No. 71

a b c (Å): 5.422 5.422 5.422
angles (deg): 145.31 110.78 79.80
Element x y z (fractional)
Be (0.750, 0.250, 0.500)
Mg (0.500, 0.500, 0.000)
Cl (0.250, 0.750, 0.500)
Mg (0.000, 0.000, 0.000)

=====

Material: MgBeCl2
Method: DFT, PBE
State: optimized geometry

Values from the calculation:
SG: No. 12

a b c (Å): 4.820 4.808 4.801
angles (deg): 63.23 84.41 116.91
Element x y z (fractional)
Cl (0.500, 0.000, 0.500)
Cl (0.000, 0.000, 0.000)
Mg (0.000, 0.500, 0.500)
Be (0.500, 0.500, 0.000)

=====

Material: MgBeCl2
Method: DFT, PBE
State: optimized geometry

Values from the calculation:
SG: No. 71

a b c (Å): 6.889 6.889 6.889
angles (deg): 137.43 153.64 50.77
Element x y z (fractional)
Cl (0.372, 0.372, 0.000)
Cl (0.128, 0.128, 0.000)
Mg (0.250, 0.750, 0.500)
Be (0.750, 0.250, 0.500)

=====

Material: MgBe2Cl
Method: DFT, PBE
State: optimized geometry

Values from the calculation:
SG: No. 123

a b c (Å): 2.977 2.977 7.092
angles (deg): 90.00 90.00 90.00
Element x y z (fractional)
Be (0.000, 0.000, 0.498)
Mg (0.500, 0.500, 0.750)
Cl (0.500, 0.500, 0.250)
Be (0.000, 0.000, 0.002)

=====

Material: MgBeCl2
Method: DFT, PBE
State: optimized geometry

Values from the calculation:
SG: No. 35

a b c (Å): 3.640 3.640 8.849
angles (deg): 90.00 90.00 126.76
Element x y z (fractional)
Mg (0.000, 0.000, 0.511)
Be (0.500, 0.500, 0.765)
Cl (0.000, 0.000, 0.906)
Cl (0.500, 0.500, 0.317)

=====

Material: Mg2BeCl
Method: DFT, PBE
State: optimized geometry

Values from the calculation:
SG: No. 44

a b c (Å): 7.900 7.900 7.900
angles (deg): 156.70 156.26 33.50
Element x y z (fractional)
Be (0.553, 0.553, 0.000)
Mg (0.688, 0.188, 0.500)
Cl (0.292, 0.792, 0.500)
Mg (0.968, 0.968, 0.000)

=====

Material: Mg2BeCl
Method: DFT, PBE
State: optimized geometry

Values from the calculation:
SG: No. 119

a b c (Å): 6.085 6.085 6.085
angles (deg): 143.55 143.55 52.51
Element x y z (fractional)
Mg (0.250, 0.750, 0.500)
Be (0.500, 0.500, 0.000)
Cl (0.750, 0.250, 0.500)
Mg (0.000, 0.000, 0.000)

=====

Material: Mg2BeCl
Method: DFT, PBE
State: optimized geometry

Values from the calculation:
SG: No. 122

a b c (Å): 6.840 6.840 6.113
angles (deg): 55.98 55.98 90.00
Element x y z (fractional)
Cl (0.000, 0.000, 0.000)
Be (0.500, 0.500, 0.000)
Mg (0.135, 0.625, 0.250)
Mg (0.875, 0.865, 0.750)
Mg (0.375, 0.385, 0.750)
Cl (0.750, 0.250, 0.500)
Be (0.250, 0.750, 0.500)
Mg (0.615, 0.125, 0.250)

=====

Material: MgBe2Cl
Method: DFT, PBE
State: optimized geometry

Values from the calculation:
SG: No. 65

a b c (Å): 4.901 4.901 3.302
angles (deg): 90.00 90.00 122.97
Element x y z (fractional)
Be (0.500, 0.500, 0.000)
Mg (0.000, 0.500, 0.500)
Be (0.000, 0.000, 0.000)
Cl (0.500, 0.000, 0.500)

=====

Material: Mg4BeCl
Method: DFT, PBE
State: optimized geometry

Values from the calculation:
SG: No. 216

a b c (Å): 5.758 5.758 5.758
angles (deg): 60.00 60.00 60.00
Element x y z (fractional)
Cl (0.000, 0.000, 0.000)
Mg (0.871, 0.376, 0.376)
Mg (0.376, 0.376, 0.376)
Be (0.750, 0.750, 0.750)
Mg (0.376, 0.871, 0.376)
Mg (0.376, 0.376, 0.871)

=====

| no. | uncorrected formation energy (kJ per mole of atoms) |
| --- | --- |
| 1 | -8.33 |
| 2 | 57.34 |
| 3 | 0.67 |
| 4 | -21.34 |
| 5 | -60.91 |
| 6 | 50.40 |
| 7 | -70.39 |
| 8 | -18.43 |
| 9 | 8.63 |
| 10 | 3.22 |
| 11 | 39.07 |
| 12 | 32.46 |